Material: LiMg2Ga2Ag5
Method: DFT, PBE
State: optimized geometry

Its total energy is -53.00 eV for the cell shown. Its crystal system is tetragonal. The density of states at the Fermi level is 0.2957 states/eV/atom. As for the total moment: 0.000 μB per atom.

a b c (Å): 4.0714 9.5701 9.5701
angles (deg): 90.00 90.00 90.00
With the nearest neighbours (Å) after each atom.
Sites, in units of the cell vectors:
Ag 0.5000 0.5000 0.0000  4 Ga 2.67, 4 Ag 2.94
Ag 0.5000 0.4371 0.3004  2 Ga 2.70, 3 Ag 2.83-2.94, 2 Li 2.86
Ag 0.5000 0.6996 0.4371  2 Ga 2.70, 3 Ag 2.83-2.94, 2 Li 2.86
Ag 0.5000 0.8004 0.9371  2 Ga 2.70, 3 Ag 2.83-2.94, 2 Li 2.86
Ag 0.5000 0.9371 0.1996  2 Ga 2.70, 3 Ag 2.83-2.94, 2 Li 2.86
Ag 0.5000 0.0629 0.8004  2 Ga 2.70, 3 Ag 2.83-2.94, 2 Li 2.86
Ag 0.5000 0.3004 0.5629  2 Ga 2.70, 3 Ag 2.83-2.94, 2 Li 2.86
Ag 0.5000 0.0000 0.5000  4 Ga 2.67, 4 Ag 2.94
Ag 0.5000 0.1996 0.0629  2 Ga 2.70, 3 Ag 2.83-2.94, 2 Li 2.86
Ag 0.5000 0.5629 0.6996  2 Ga 2.70, 3 Ag 2.83-2.94, 2 Li 2.86
Li 0.0000 0.5000 0.5000  8 Ag 2.86
Li 0.0000 0.0000 0.0000  8 Ag 2.86
Mg 0.0000 0.6715 0.1715  3 Ga 2.72-2.89
Mg 0.0000 0.1715 0.3285  3 Ga 2.72-2.89
Mg 0.0000 0.8285 0.6715  3 Ga 2.72-2.89
Mg 0.0000 0.3285 0.8285  3 Ga 2.72-2.89
Ga 0.0000 0.3725 0.1275  6 Ag 2.67-2.70, 3 Mg 2.72-2.89
Ga 0.0000 0.1275 0.6275  6 Ag 2.67-2.70, 3 Mg 2.72-2.89
Ga 0.0000 0.6275 0.8725  6 Ag 2.67-2.70, 3 Mg 2.72-2.89
Ga 0.0000 0.8725 0.3725  6 Ag 2.67-2.70, 3 Mg 2.72-2.89



Material: La2NbTl
Method: DFT, PBE
State: optimized geometry

Its crystal system is tetragonal. For the distance to the lowest polymorph of the same formula, the calculation gives 0.2148 eV/atom. The density of states at the Fermi level is 1.7788 states/eV/atom. As for the total moment: 0.322 μB per atom.

a b c (Å): 8.5568 8.5568 6.8163
angles (deg): 51.12 51.12 90.00
With the nearest neighbours (Å) after each atom.
Sites, in units of the cell vectors:
Nb 0.5000 0.5000 0.0000  4 La 2.92, 2 Tl 3.14
Nb 0.2500 0.7500 0.5000  4 La 2.92, 2 Tl 3.14
La 0.1618 0.6250 0.2500  2 Nb 2.92, 2 La 3.20
La 0.8750 0.8382 0.7500  2 Nb 2.92, 2 La 3.20
La 0.3750 0.4118 0.7500  2 Nb 2.92, 2 La 3.20
La 0.5882 0.1250 0.2500  2 Nb 2.92, 2 La 3.20
Tl 0.7500 0.2500 0.5000  2 Nb 3.14, 4 La 3.35
Tl 0.0000 0.0000 0.0000  2 Nb 3.14, 4 La 3.35



Material: CdCu2Ru
Method: DFT, PBE
State: optimized geometry

Its total energy is -17.23 eV for the cell shown. Its crystal system is monoclinic. The density of states at the Fermi level is 0.8320 states/eV/atom. As for the total moment: 0.000 μB per atom.

a b c (Å): 4.6560 4.6560 5.0120
angles (deg): 81.14 81.14 33.69
With the nearest neighbours (Å) after each atom.
Sites, in units of the cell vectors:
Cd 0.2500 0.2500 0.2500  2 Cd 2.70, 6 Cu 2.78-2.82, 4 Ru 2.85
Ru 0.7500 0.7500 0.7500  6 Cu 2.65-2.68, 2 Ru 2.70, 4 Cd 2.85
Cu 0.0054 0.0054 0.9683  4 Cu 2.59-2.70, 3 Ru 2.65-2.68, 3 Cd 2.78-2.82
Cu 0.4946 0.4946 0.5317  4 Cu 2.59-2.70, 3 Ru 2.65-2.68, 3 Cd 2.78-2.82



Material: SnAu3
Method: DFT, PBE
State: optimized geometry

Its total energy is -13.94 eV for the cell shown. Its crystal system is orthorhombic. The density of states at the Fermi level is 0.2725 states/eV/atom. As for the total moment: 0.000 μB per atom.

a b c (Å): 4.5256 3.3313 5.2678
angles (deg): 90.00 90.00 90.00
With the nearest neighbours (Å) after each atom.
Sites, in units of the cell vectors:
Au 0.0000 0.0000 0.0139  8 Au 2.91-3.18, 2 Sn 2.92
Au 0.5000 0.5000 0.1565  6 Au 2.90-2.91, 4 Sn 3.09-3.14
Au 0.0000 0.5000 0.5007  6 Au 2.90-3.18, 4 Sn 2.94
Sn 0.5000 0.0000 0.6623  10 Au 2.92-3.14



Material: MnRu3N
Method: DFT, PBE
State: optimized geometry

The calculation puts the raw formation energy at 2.446 eV per atom. Its crystal system is cubic. For the distance to the lowest polymorph of the same formula, the calculation gives 2.2522 eV/atom. The density of states at the Fermi level is 1.6261 states/eV/atom. As for the total moment: 0.393 μB per atom.

a b c (Å): 4.3725 4.3725 4.3725
angles (deg): 90.00 90.00 90.00
With the nearest neighbours (Å) after each atom.
Sites, in units of the cell vectors:
Ru 0.0000 0.5000 0.0000  2 Mn 2.19
Ru 0.0000 0.0000 0.5000  2 Mn 2.19
Ru 0.5000 0.0000 0.0000  2 Mn 2.19
Mn 0.0000 0.0000 0.0000  6 Ru 2.19
N 0.5000 0.5000 0.5000  12 Ru 3.09



Material: Cs2SbO2F4
Method: DFT, PBE
State: optimized geometry

The calculation puts the raw formation energy at -2.078 eV per atom. Its crystal system is monoclinic. The density of states at the Fermi level is 0.6105 states/eV/atom. As for the total moment: 0.111 μB per atom.

a b c (Å): 5.2147 6.4704 6.4704
angles (deg): 59.14 89.00 89.00
With the nearest neighbours (Å) after each atom.
Sites, in units of the cell vectors:
F 0.2833 0.7055 0.1535  1 Sb 2.00
F 0.2833 0.1535 0.7055  1 Sb 2.00
F 0.7167 0.8465 0.2945  1 Sb 2.00
F 0.7167 0.2945 0.8465  1 Sb 2.00
Sb 0.5000 0.0000 0.0000  2 O 1.92, 4 F 2.00
O 0.2956 0.1438 0.1438  1 Sb 1.92
O 0.7044 0.8562 0.8562  1 Sb 1.92
Cs 0.1941 0.6705 0.6705  4 O 3.25-3.42, 8 F 3.26-3.42
Cs 0.8059 0.3295 0.3295  4 O 3.25-3.42, 8 F 3.26-3.42



Material: ZrPaFeNi
Method: DFT, PBE
State: optimized geometry

Its total energy is -32.73 eV for the cell shown. Its crystal system is cubic. The density of states at the Fermi level is 1.5149 states/eV/atom. As for the total moment: 0.000 μB per atom.

a b c (Å): 4.6187 4.6187 4.6187
angles (deg): 60.00 60.00 60.00
With the nearest neighbours (Å) after each atom.
Sites, in units of the cell vectors:
Pa 0.0000 0.0000 0.0000  4 Fe 2.83, 4 Ni 2.83
Fe 0.7500 0.7500 0.7500  4 Pa 2.83, 4 Zr 2.83
Zr 0.5000 0.5000 0.5000  4 Ni 2.83, 4 Fe 2.83
Ni 0.2500 0.2500 0.2500  4 Zr 2.83, 4 Pa 2.83



Material: Na2HPtAu
Method: DFT, PBE
State: optimized geometry

Its total energy is -16.26 eV for the cell shown. Its crystal system is tetragonal. The density of states at the Fermi level is 0.4574 states/eV/atom. As for the total moment: 0.000 μB per atom.

a b c (Å): 4.6830 4.6830 3.6602
angles (deg): 90.00 90.00 90.00
With the nearest neighbours (Å) after each atom.
Sites, in units of the cell vectors:
Pt 0.0000 0.0000 0.5000  2 H 1.83
Au 0.5000 0.5000 0.5000  8 Na 2.97, 4 Pt 3.31
Na 0.0000 0.5000 0.0000  2 H 2.34
Na 0.5000 0.0000 0.0000  2 H 2.34
H 0.0000 0.0000 0.0000  2 Pt 1.83



Material: TmThOsPt
Method: DFT, PBE
State: optimized geometry

Its total energy is -31.83 eV for the cell shown. Its crystal system is cubic. The density of states at the Fermi level is 0.6797 states/eV/atom. As for the total moment: 0.000 μB per atom.

a b c (Å): 4.9664 4.9664 4.9664
angles (deg): 60.00 60.00 60.00
With the nearest neighbours (Å) after each atom.
Sites, in units of the cell vectors:
Os 0.0000 0.0000 0.0000  4 Tm 3.04, 4 Th 3.04
Tm 0.7500 0.7500 0.7500  4 Pt 3.04, 4 Os 3.04
Th 0.2500 0.2500 0.2500  4 Os 3.04, 4 Pt 3.04
Pt 0.5000 0.5000 0.5000  4 Tm 3.04, 4 Th 3.04



Material: MgIn2Ag
Method: DFT, PBE
State: optimized geometry

Its total energy is -10.11 eV for the cell shown. Its crystal system is tetragonal. The density of states at the Fermi level is 0.3221 states/eV/atom. As for the total moment: 0.000 μB per atom.

a b c (Å): 5.4778 5.4778 5.4778
angles (deg): 132.14 132.17 69.98
With the nearest neighbours (Å) after each atom.
Sites, in units of the cell vectors:
Ag 0.7500 0.2500 0.5000  4 Mg 3.14, 8 In 3.16
Mg 0.2500 0.7500 0.5000  4 Ag 3.14, 8 In 3.16
In 0.9999 0.9999 0.0000  4 In 3.14, 4 Mg 3.16, 4 Ag 3.16
In 0.5001 0.5001 0.0000  4 In 3.14, 4 Mg 3.16, 4 Ag 3.16



Material: LaTiZn2B
Method: DFT, PBE
State: optimized geometry

Its total energy is -14.07 eV for the cell shown. Its crystal system is tetragonal. The density of states at the Fermi level is 1.7995 states/eV/atom. As for the total moment: 0.025 μB per atom.

a b c (Å): 5.3784 4.5021 5.3784
angles (deg): 90.00 90.00 90.00
With the nearest neighbours (Å) after each atom.
Sites, in units of the cell vectors:
Zn 0.0000 0.0000 0.5000  2 La 2.69
Zn 0.5000 0.0000 0.0000  2 La 2.69
Ti 0.5000 0.5000 0.5000  8 Zn 3.51, 4 B 3.80
La 0.0000 0.0000 0.0000  2 B 2.25
B 0.0000 0.5000 0.0000  2 La 2.25



Material: LiZr2ScTl
Method: DFT, PBE
State: optimized geometry

Its total energy is -23.39 eV for the cell shown. Its crystal system is tetragonal. The density of states at the Fermi level is 0.9009 states/eV/atom. As for the total moment: 0.000 μB per atom.

a b c (Å): 5.0364 5.5630 5.0364
angles (deg): 90.00 90.00 90.00
With the nearest neighbours (Å) after each atom.
Sites, in units of the cell vectors:
Zr 0.5000 0.0000 0.0000  2 Sc 2.52
Zr 0.0000 0.0000 0.5000  2 Sc 2.52
Tl 0.0000 0.5000 0.0000  2 Sc 2.78
Sc 0.0000 0.0000 0.0000  4 Zr 2.52, 2 Tl 2.78
Li 0.5000 0.5000 0.5000  4 Tl 3.56, 8 Zr 3.75